{
  "formula": "AcGa2Ge",
  "functional": "PBE",
  "state": "optimized geometry",
  "lattice_angstrom": [[4.769, 0.000, 0.000], [0.000, 4.524, 0.000], [0.000, 0.000, 4.524]],
  "species": ["Ac", "Ge", "Ga", "Ga"],
  "frac_coords": [[0.500, 0.500, 0.500], [0.500, 0.000, 0.000], [0.000, 0.000, 0.500], [0.000, 0.500, 0.000]],
  "magnetic_moment_mub_per_fu": 0.0,
  "vol_a3_per_cell": 97.60,
  "e_above_lowest_polymorph_mev_per_atom": 3,
  "formation_energy_mev_per_atom": -363
}